Below is an optimized crystal structure of NaLiAcPd, with properties calculated at the PBE level.

Output
calculated volume = 102.8 Å³/f.u.
ΔE_f = -14 kJ/mol of atoms

Cell: 7.4365 7.4365 7.4365 Å, 90.00 90.00 90.00°
Fractional positions:
Na 0.0000 0.0000 0.0000
Na 0.0000 0.5000 0.5000
Na 0.5000 0.0000 0.5000
Na 0.5000 0.5000 0.0000
Li 0.2500 0.2500 0.7500
Li 0.2500 0.7500 0.2500
Li 0.7500 0.2500 0.2500
Li 0.7500 0.7500 0.7500
Ac 0.0000 0.0000 0.5000
Ac 0.0000 0.5000 0.0000
Ac 0.5000 0.0000 0.0000
Ac 0.5000 0.5000 0.5000
Pd 0.2500 0.2500 0.2500
Pd 0.2500 0.7500 0.7500
Pd 0.7500 0.2500 0.7500
Pd 0.7500 0.7500 0.2500